The following is a PBE calculation of crystalline SrTaCr2 at its relaxed geometry, from Alexandria via LeMat-Bulk.

a b c (Å): 9.368 9.368 9.368
angles (deg): 19.77 19.77 19.77
Fractional coordinates of all 4 atoms:
Sr1 0.000 0.000 0.000
Ta1 0.500 0.500 0.500
Cr1 0.235 0.235 0.235
Cr2 0.765 0.765 0.765

Calculated values
SG = R-3m (166)
E_tot = -7.22 eV/atom
ΔE_f = 975.6 meV/atom